Compound: Ce6TeAs2Se3
Source: Alexandria via LeMat-Bulk
Functional: GGA-PBE
Structure: optimized geometry

- Formation energy without anion corrections: -155.9 kJ/mol of atoms
- Symmetry: C2/m
- Magnetization: 5.739 μB per formula unit
- Mass density: 6.85 g/cm3

Cell lengths 9.5077, 9.5077, 8.5426 Å; angles 102.50, 102.50, 25.86 degrees
Positions (direct):
Ce 0.0031 0.0031 0.2666
Ce 0.3271 0.3271 0.9089
Ce 0.3322 0.3322 0.4200
Ce 0.6678 0.6678 0.5800
Ce 0.6729 0.6729 0.0911
Ce 0.9969 0.9969 0.7334
Te 0.5000 0.5000 0.0000
As 0.1676 0.1676 0.3338
As 0.8324 0.8324 0.6662
Se 0.1635 0.1635 0.8320
Se 0.5000 0.5000 0.5000
Se 0.8365 0.8365 0.1680